(1)
Sm3MgCo8 | Alexandria | PBE-GGA | optimized geometry; symmetry = R3m, No. 160
1.0
2.530 1.461 8.316
-2.530 1.461 8.316
0.000 -2.922 8.316
Sm Mg Co
3 1 8
Direct
0.000 0.000 0.000
0.127 0.127 0.127
0.621 0.621 0.621
0.498 0.498 0.498
0.061 0.061 0.557
0.061 0.557 0.061
0.068 0.562 0.562
0.312 0.312 0.312
0.557 0.061 0.061
0.562 0.068 0.562
0.562 0.562 0.068
0.813 0.813 0.813

=====

(2)
Sm6MgCo2 | Alexandria | PBE-GGA | optimized geometry; ΔE to the lowest computed polymorph = 0.000 eV per atom; symmetry = Immm, No. 71
1.0
-4.772 4.947 5.100
4.772 -4.947 5.100
4.772 4.947 -5.100
Sm Mg Co
12 2 4
Direct
0.031 0.235 0.796
0.183 0.285 0.468
0.183 0.715 0.898
0.320 0.005 0.685
0.320 0.635 0.315
0.439 0.235 0.204
0.561 0.765 0.796
0.680 0.365 0.685
0.680 0.995 0.315
0.817 0.285 0.102
0.817 0.715 0.532
0.969 0.765 0.204
0.000 0.000 0.000
0.500 0.500 0.000
0.112 0.612 0.500
0.327 0.000 0.327
0.673 0.000 0.673
0.888 0.388 0.500

=====

| no. | M_tot (μB/cell) | E_tot (eV for the cell shown) | ΔH_f (0 K) (eV/atom) |
| --- | --- | --- | --- |
| 1 | 8.41 | -73.7 | -0.090 |
| 2 | 0.00 | -90.0 | -0.096 |